No. 1
Sr2VGeRh | GGA-PBE | optimized geometry

## Properties
Energy relative to the elements (meV per atom): 771
E_tot (eV per atom): -4.1196

Lattice parameters (Å, degrees): 5.776 5.776 4.707 90.00 90.00 90.00
Sites, in units of the cell vectors:
Sr 0.000 0.500 0.000
Sr 0.500 0.000 0.000
V 0.000 0.000 0.000
Ge 0.000 0.000 0.500
Rh 0.500 0.500 0.500

***

No. 2
Sr2ZnGe4Rh3 | GGA-PBE | optimized geometry

## Properties
Energy relative to the elements (meV per atom): -588
E_tot (eV per atom): -5.1042

Lattice parameters (Å, degrees): 4.374 4.374 10.232 90.00 90.00 90.00
Sites, in units of the cell vectors:
Sr 0.000 0.500 0.248
Sr 0.500 0.000 0.752
Zn 0.000 0.000 0.500
Ge 0.000 0.000 0.000
Ge 0.000 0.500 0.632
Ge 0.500 0.000 0.368
Ge 0.500 0.500 0.000
Rh 0.000 0.500 0.879
Rh 0.500 0.000 0.121
Rh 0.500 0.500 0.500

***

No. 3
Ta3GeRh | GGA-PBE | optimized geometry

## Properties
Energy relative to the elements (meV per atom): 1099
E_tot (eV per atom): -8.4068
Relative energy among the computed polymorphs (meV/atom): 0

Lattice parameters (Å, degrees): 4.797 4.797 4.797 90.00 90.00 90.00
Sites, in units of the cell vectors:
Ta 0.000 0.000 0.500
Ta 0.000 0.500 0.000
Ta 0.500 0.000 0.000
Ge 0.500 0.500 0.500
Rh 0.000 0.000 0.000

***

| no. | total moment (μB per atom) |
| --- | --- |
| 1 | 0.87 |
| 2 | 0.00 |
| 3 | 0.00 |